Entry 1:
Compound: K3Dy3ErSe8
Source: Alexandria via LeMat-Bulk
Functional: PBE
Structure: relaxed

Summary:
uncorrected formation energy	-2432	kJ/mol of formula units
DOS(E_F)	0.5649	states/eV per atom
energy	-4.983	eV/atom
crystal system	trigonal

```
K3Dy3ErSe8
1.0
-4.333 3.239 -6.278
4.810 -6.631 -1.273
-7.805 -1.371 4.680
K Dy Er Se
3 3 1 8
direct
0.000 0.000 0.000
0.000 0.500 0.000
0.500 0.500 0.000
0.500 0.000 0.500
0.500 0.500 0.500
0.000 0.500 0.500
0.000 0.000 0.500
0.265 0.530 0.295
0.735 0.470 0.705
0.767 0.534 0.298
0.233 0.466 0.702
0.767 0.032 0.298
0.233 0.968 0.702
0.265 0.032 0.298
0.735 0.968 0.702
```

***

Entry 2:
Compound: K3DyEr3Se8
Source: Alexandria via LeMat-Bulk
Functional: PBE
Structure: relaxed

Summary:
uncorrected formation energy	-2428	kJ/mol of formula units
DOS(E_F)	0.5397	states/eV per atom
energy	-4.975	eV/atom
crystal system	trigonal

```
K3DyEr3Se8
1.0
-3.511 4.810 5.699
3.106 -7.333 2.143
6.046 6.651 -1.890
K Dy Er Se
3 1 3 8
direct
0.000 0.000 0.000
0.000 0.500 0.000
0.500 0.500 0.000
0.000 0.000 0.500
0.500 0.000 0.500
0.500 0.500 0.500
0.000 0.500 0.500
0.265 0.531 0.296
0.735 0.469 0.704
0.765 0.529 0.298
0.235 0.471 0.702
0.764 0.033 0.298
0.236 0.967 0.702
0.269 0.033 0.298
0.731 0.967 0.702
```

***

Entry 3:
Compound: K4DyEr3Se8
Source: Alexandria via LeMat-Bulk
Functional: PBE
Structure: relaxed

Summary:
uncorrected formation energy	-2716	kJ/mol of formula units
DOS(E_F)	0.0000	states/eV per atom
energy	-4.919	eV/atom
crystal system	trigonal

```
K4DyEr3Se8
1.0
-8.071 -0.614 -2.157
2.429 -2.216 -8.457
3.033 -4.683 6.248
K Dy Er Se
4 1 3 8
direct
0.500 0.000 0.000
0.500 0.000 0.500
0.000 0.000 0.000
0.000 0.000 0.500
0.000 0.500 0.000
0.500 0.500 0.000
0.500 0.500 0.500
0.000 0.500 0.500
0.236 0.704 0.969
0.236 0.704 0.471
0.265 0.297 0.531
0.733 0.704 0.969
0.267 0.296 0.031
0.735 0.703 0.469
0.764 0.296 0.529
0.764 0.296 0.031
```

***

Entry 4:
Compound: K3DyEr2Se6
Source: Alexandria via LeMat-Bulk
Functional: PBE
Structure: relaxed

Summary:
uncorrected formation energy	-2038	kJ/mol of formula units
DOS(E_F)	0.0000	states/eV per atom
energy	-4.921	eV/atom
crystal system	monoclinic

```
K3DyEr2Se6
1.0
-5.147 -2.790 4.289
2.055 -3.552 -5.985
6.406 -1.588 4.608
K Dy Er Se
3 1 2 6
direct
0.166 0.834 0.500
0.834 0.166 0.500
0.500 0.500 0.500
0.000 0.000 0.000
0.333 0.667 0.000
0.667 0.333 0.000
0.932 0.597 0.796
0.733 0.733 0.204
0.068 0.403 0.204
0.597 0.932 0.796
0.267 0.267 0.796
0.403 0.068 0.204
```

***

Entry 5:
Compound: KDyEr4Se8
Source: Alexandria via LeMat-Bulk
Functional: PBE
Structure: relaxed

Summary:
uncorrected formation energy	-2346	kJ/mol of formula units
DOS(E_F)	0.0000	states/eV per atom
energy	-5.439	eV/atom
crystal system	trigonal

```
KDyEr4Se8
1.0
-0.189 -6.420 -5.590
0.141 -8.054 2.760
-7.002 -4.855 -0.673
K Dy Er Se
1 1 4 8
direct
0.374 0.374 0.879
0.005 0.005 0.985
0.625 0.625 0.124
0.005 0.486 0.505
0.486 0.005 0.505
0.005 0.005 0.505
0.236 0.796 0.732
0.796 0.236 0.732
0.236 0.236 0.732
0.234 0.234 0.298
0.757 0.228 0.259
0.228 0.757 0.259
0.757 0.757 0.259
0.758 0.758 0.727
```

***

Entry 6:
Compound: K3Dy2ErSe6
Source: Alexandria via LeMat-Bulk
Functional: PBE
Structure: relaxed

Summary:
uncorrected formation energy	-2041	kJ/mol of formula units
DOS(E_F)	0.0000	states/eV per atom
energy	-4.926	eV/atom
crystal system	monoclinic

```
K3Dy2ErSe6
1.0
7.278 -0.001 0.000
-3.638 6.303 0.000
-1.214 -2.101 7.679
K Dy Er Se
3 2 1 6
direct
0.167 0.833 0.500
0.833 0.167 0.500
0.500 0.500 0.500
0.333 0.667 0.000
0.667 0.333 0.000
0.000 0.000 0.000
0.932 0.600 0.795
0.737 0.737 0.205
0.068 0.400 0.205
0.600 0.932 0.795
0.263 0.263 0.795
0.400 0.068 0.205
```

***

Entry 7:
Compound: K4DyEr3Te8
Source: Alexandria via LeMat-Bulk
Functional: PBE
Structure: relaxed

Summary:
uncorrected formation energy	-2139	kJ/mol of formula units
energy	-4.374	eV/atom
crystal system	monoclinic

```
K4DyEr3Te8
1.0
-5.623 -3.085 -6.237
7.038 0.682 -6.682
1.706 -4.889 7.297
K Dy Er Te
4 1 3 8
direct
0.500 0.000 0.000
0.500 0.000 0.500
0.000 0.000 0.000
0.000 0.000 0.500
0.000 0.500 0.000
0.500 0.500 0.000
0.500 0.500 0.500
0.000 0.500 0.500
0.237 0.707 0.971
0.237 0.707 0.473
0.264 0.293 0.529
0.734 0.707 0.971
0.266 0.293 0.029
0.736 0.707 0.471
0.763 0.293 0.527
0.763 0.293 0.029
```

***

Entry 8:
Compound: K3Dy2ErTe6
Source: Alexandria via LeMat-Bulk
Functional: PBE
Structure: relaxed

Summary:
uncorrected formation energy	-1612	kJ/mol of formula units
energy	-4.384	eV/atom
crystal system	monoclinic

```
K3Dy2ErTe6
1.0
-0.788 -4.624 -6.192
-4.447 -1.115 6.271
-3.918 7.034 -3.131
K Dy Er Te
3 2 1 6
direct
0.167 0.833 0.500
0.833 0.167 0.500
0.500 0.500 0.500
0.333 0.667 0.000
0.667 0.333 0.000
0.000 0.000 0.000
0.931 0.599 0.792
0.738 0.738 0.208
0.069 0.401 0.208
0.599 0.931 0.792
0.262 0.262 0.792
0.401 0.069 0.208
```